[1]
Below is crystalline NaTe3As at its relaxed geometry, with properties calculated at the GGA-PBE level.

Cell: 5.405 5.405 5.405 Å, 90.00 90.00 90.00°
Sites, in units of the cell vectors:
Na (0.000, 0.000, 0.000)
Te (0.000, 0.000, 0.500)
Te (0.000, 0.500, 0.000)
Te (0.500, 0.000, 0.000)
As (0.500, 0.500, 0.500)

Output
- SG = Pm-3m, No. 221
- crystal system = cubic
- uncorrected formation energy (kJ/mol of atoms) = 82.1
- V (Å³/atom) = 31.58
- energy above the most stable polymorph in this dataset (eV/f.u.) = 5.237

=====

[2]
Below is crystalline Li4BeCr at its relaxed geometry, with properties calculated at the GGA-PBE level.

Cell: 4.955 4.955 4.955 Å, 60.00 60.00 60.00°
Sites, in units of the cell vectors:
Li (0.376, 0.376, 0.376)
Li (0.376, 0.376, 0.873)
Li (0.376, 0.873, 0.376)
Li (0.873, 0.376, 0.376)
Be (0.750, 0.750, 0.750)
Cr (0.000, 0.000, 0.000)

Output
- SG = F-43m, No. 216
- calculated formation energy (eV per atom) = 0.4713
- crystal system = cubic
- V (Å³/atom) = 14.34

=====

[3]
Below is crystalline Er8ZnNi2 at its relaxed geometry, with properties calculated at the GGA-PBE level.

Cell: 7.722 7.722 5.359 Å, 97.88 97.88 114.34°
Sites, in units of the cell vectors:
Er (0.000, 0.000, 0.000)
Er (0.048, 0.306, 0.606)
Er (0.140, 0.621, 0.192)
Er (0.306, 0.048, 0.606)
Er (0.456, 0.714, 0.777)
Er (0.621, 0.140, 0.192)
Er (0.714, 0.456, 0.777)
Er (0.761, 0.761, 0.383)
Zn (0.380, 0.380, 0.194)
Ni (0.076, 0.687, 0.693)
Ni (0.687, 0.076, 0.693)

Output
- SG = Cm, No. 8
- calculated formation energy (eV per atom) = -0.1161
- crystal system = monoclinic
- V (Å³/atom) = 25.61
- energy above the most stable polymorph in this dataset (eV/f.u.) = 1.169

=====

[4]
Below is crystalline TlCdTe3As at its relaxed geometry, with properties calculated at the GGA-PBE level.

Cell: 8.991 4.382 10.427 Å, 90.00 105.57 90.00°
Sites, in units of the cell vectors:
Tl (0.207, 0.250, 0.248)
Tl (0.793, 0.750, 0.752)
Cd (0.086, 0.250, 0.613)
Cd (0.914, 0.750, 0.387)
Te (0.115, 0.250, 0.892)
Te (0.247, 0.750, 0.534)
Te (0.455, 0.750, 0.148)
Te (0.545, 0.250, 0.852)
Te (0.753, 0.250, 0.466)
Te (0.885, 0.750, 0.108)
As (0.329, 0.750, 0.885)
As (0.671, 0.250, 0.115)

Output
- SG = P2_1/m, No. 11
- crystal system = monoclinic
- uncorrected formation energy (kJ/mol of atoms) = -20.3
- V (Å³/atom) = 32.98

=====

[5]
Below is crystalline HfNpZn17 at its relaxed geometry, with properties calculated at the GGA-PBE level.

Cell: 6.739 6.739 6.739 Å, 82.49 82.49 82.49°
Sites, in units of the cell vectors:
Hf (0.000, 0.000, 0.000)
Np (0.336, 0.336, 0.336)
Zn (0.022, 0.022, 0.524)
Zn (0.022, 0.524, 0.022)
Zn (0.179, 0.662, 0.662)
Zn (0.310, 0.310, 0.847)
Zn (0.310, 0.847, 0.310)
Zn (0.369, 0.674, 0.969)
Zn (0.369, 0.969, 0.674)
Zn (0.524, 0.022, 0.022)
Zn (0.575, 0.575, 0.575)
Zn (0.662, 0.179, 0.662)
Zn (0.662, 0.662, 0.179)
Zn (0.674, 0.369, 0.969)
Zn (0.674, 0.969, 0.369)
Zn (0.776, 0.776, 0.776)
Zn (0.847, 0.310, 0.310)
Zn (0.969, 0.369, 0.674)
Zn (0.969, 0.674, 0.369)

Output
- SG = R3m, No. 160
- calculated formation energy (eV per atom) = -0.0595
- crystal system = trigonal
- V (Å³/atom) = 15.72

=====

[6]
Below is crystalline AcPm2ErSe6 at its relaxed geometry, with properties calculated at the GGA-PBE level.

Cell: 7.894 7.894 7.894 Å, 56.53 56.53 56.53°
Sites, in units of the cell vectors:
Ac (0.000, 0.000, 0.000)
Pm (0.287, 0.287, 0.287)
Pm (0.795, 0.795, 0.795)
Er (0.488, 0.488, 0.488)
Se (0.091, 0.665, 0.419)
Se (0.207, 0.586, 0.879)
Se (0.419, 0.091, 0.665)
Se (0.586, 0.879, 0.207)
Se (0.665, 0.419, 0.091)
Se (0.879, 0.207, 0.586)

Output
- SG = R3, No. 146
- crystal system = trigonal
- uncorrected formation energy (kJ/mol of atoms) = -180.2
- V (Å³/atom) = 31.99

=====

[7]
Below is crystalline Mg2POs at its relaxed geometry, with properties calculated at the GGA-PBE level.

Cell: 4.802 4.802 4.802 Å, 131.37 131.37 71.22°
Sites, in units of the cell vectors:
Mg (0.000, 0.000, 0.000)
Mg (0.750, 0.250, 0.500)
P (0.500, 0.500, 0.000)
Os (0.250, 0.750, 0.500)

Output
- SG = I-4m2, No. 119
- calculated formation energy (eV per atom) = 0.1224
- crystal system = tetragonal
- V (Å³/atom) = 15.26

=====

[8]
Below is crystalline ZrIn2SnS at its relaxed geometry, with properties calculated at the GGA-PBE level.

Cell: 5.439 5.439 5.551 Å, 90.00 90.00 90.00°
Sites, in units of the cell vectors:
Zr (0.000, 0.000, 0.000)
In (0.000, 0.500, 0.500)
In (0.500, 0.000, 0.500)
Sn (0.000, 0.000, 0.500)
S (0.500, 0.500, 0.000)

Output
- SG = P4/mmm, No. 123
- crystal system = tetragonal
- uncorrected formation energy (kJ/mol of atoms) = 73.7
- V (Å³/atom) = 32.85

=====

[9]
Below is crystalline Cd6AgAu at its relaxed geometry, with properties calculated at the GGA-PBE level.

Cell: 5.100 5.899 6.608 Å, 71.11 68.51 79.61°
Sites, in units of the cell vectors:
Cd (0.004, 0.001, 0.250)
Cd (0.463, 0.271, 0.695)
Cd (0.468, 0.272, 0.195)
Cd (0.532, 0.728, 0.805)
Cd (0.537, 0.729, 0.305)
Cd (0.996, 0.999, 0.750)
Ag (0.000, 0.500, 0.500)
Au (0.000, 0.500, 0.000)

Output
- SG = P-1, No. 2
- calculated formation energy (eV per atom) = -0.0506
- crystal system = triclinic
- V (Å³/atom) = 21.83
- energy above the most stable polymorph in this dataset (eV/f.u.) = 0.000

=====

[10]
Below is crystalline CaLaIn at its relaxed geometry, with properties calculated at the GGA-PBE level.

Cell: 5.108 4.996 7.866 Å, 90.00 108.85 90.00°
Sites, in units of the cell vectors:
Ca (0.178, 0.000, 0.355)
Ca (0.822, 0.000, 0.645)
La (0.000, 0.500, 0.000)
La (0.500, 0.000, 0.000)
In (0.338, 0.500, 0.674)
In (0.662, 0.500, 0.326)

Output
- SG = P2/m, No. 10
- calculated formation energy (eV per atom) = -0.2882
- crystal system = monoclinic
- V (Å³/atom) = 31.66
- energy above the most stable polymorph in this dataset (eV/f.u.) = 0.471

=====

[11]
Below is crystalline LiTl2ZnI5 at its relaxed geometry, with properties calculated at the GGA-PBE level.

Cell: 10.890 10.890 14.643 Å, 90.00 90.00 156.74°
Sites, in units of the cell vectors:
Li (0.214, 0.786, 0.500)
Li (0.786, 0.214, 0.000)
Tl (0.127, 0.873, 0.788)
Tl (0.140, 0.860, 0.149)
Tl (0.860, 0.140, 0.649)
Tl (0.873, 0.127, 0.288)
Zn (0.435, 0.565, 0.884)
Zn (0.565, 0.435, 0.384)
I (0.038, 0.962, 0.485)
I (0.300, 0.700, 0.129)
I (0.314, 0.686, 0.849)
I (0.344, 0.656, 0.472)
I (0.498, 0.502, 0.731)
I (0.502, 0.498, 0.231)
I (0.656, 0.344, 0.972)
I (0.686, 0.314, 0.349)
I (0.700, 0.300, 0.629)
I (0.962, 0.038, 0.985)

Output
- SG = Cmc2_1, No. 36
- crystal system = orthorhombic
- uncorrected formation energy (kJ/mol of atoms) = -72.0
- V (Å³/atom) = 38.10

=====

[12]
Below is crystalline TbCuSi2Pt2 at its relaxed geometry, with properties calculated at the GGA-PBE level.

Cell: 4.188 4.188 6.670 Å, 90.00 90.00 120.00°
Sites, in units of the cell vectors:
Tb (0.000, 0.000, 0.000)
Cu (0.000, 0.000, 0.500)
Si (0.333, 0.667, 0.699)
Si (0.667, 0.333, 0.301)
Pt (0.333, 0.667, 0.306)
Pt (0.667, 0.333, 0.694)

Output
- SG = P-3m1, No. 164
- crystal system = trigonal
- uncorrected formation energy (kJ/mol of atoms) = -81.3
- V (Å³/atom) = 16.88

=====

- The lowest V belongs to which entry?
  Li4BeCr